Entry 1:
A plane-wave DFT calculation with PBE-GGA was carried out for a geometry-optimized Nb4BP structure.

* ρ: 7684 kg/m³
* DFT formation energy: -365 kJ/mol of formula units
* raw total energy: -0.68784 Ry per atom
* energy relative to the lowest polymorph listed for this composition: 0 meV per atom

Cell lengths 5.1164, 5.9095, 5.9095 Å; angles 90.00, 90.00, 90.00 degrees
Last column: nearest neighbours and their distance in Å.
Atoms (fractional coordinates):
B1 0.2500 0.5000 0.5000  8 Nb 2.46, 2 B 2.56
B2 0.7500 0.5000 0.5000  8 Nb 2.46, 2 B 2.56
Nb1 0.5000 0.1795 0.3447  2 B 2.46, 2 P 2.63
Nb2 0.5000 0.6553 0.1795  2 B 2.46, 2 P 2.63
Nb3 0.5000 0.8205 0.6553  2 B 2.46, 2 P 2.63
Nb4 0.0000 0.8205 0.3447  2 B 2.46, 2 P 2.63
Nb5 0.0000 0.3447 0.1795  2 B 2.46, 2 P 2.63
Nb6 0.0000 0.1795 0.6553  2 B 2.46, 2 P 2.63
Nb7 0.5000 0.3447 0.8205  2 B 2.46, 2 P 2.63
Nb8 0.0000 0.6553 0.8205  2 B 2.46, 2 P 2.63
P1 0.2500 0.0000 0.0000  2 P 2.56, 8 Nb 2.63
P2 0.7500 0.0000 0.0000  2 P 2.56, 8 Nb 2.63



Entry 2:
A plane-wave DFT calculation with PBE-GGA was carried out for a geometry-optimized Nd2SmAl structure.

* ρ: 6614 kg/m³
* DFT formation energy: -70 kJ/mol of formula units
* raw total energy: -0.34395 Ry per atom
* energy relative to the lowest polymorph listed for this composition: 0 meV per atom

Cell lengths 5.3816, 7.0870, 7.0870 Å; angles 120.07, 90.00, 90.00 degrees
Last column: nearest neighbours and their distance in Å.
Atoms (fractional coordinates):
Al1 0.0000 0.3350 0.6650  4 Sm 3.29, 8 Nd 3.31-3.57
Al2 0.5000 0.6662 0.3338  8 Nd 3.30-3.54, 4 Sm 3.54-3.55
Nd1 0.0000 0.3560 0.1792  4 Nd 3.29-3.47, 4 Al 3.30-3.57, 2 Sm 3.46
Nd2 0.0000 0.8208 0.6440  4 Nd 3.29-3.47, 4 Al 3.30-3.57, 2 Sm 3.46
Nd3 0.5000 0.1778 0.8222  2 Sm 3.31, 4 Al 3.31-3.54, 4 Nd 3.47
Nd4 0.0000 0.8217 0.1783  4 Al 3.30-3.54, 2 Nd 3.30, 4 Sm 3.47
Sm1 0.5000 0.6443 0.8216  4 Al 3.29-3.55, 1 Sm 3.30, 5 Nd 3.31-3.47
Sm2 0.5000 0.1784 0.3557  4 Al 3.29-3.55, 1 Sm 3.30, 5 Nd 3.31-3.47



Entry 3:
A plane-wave DFT calculation with PBE-GGA was carried out for a geometry-optimized Ca2ZrTe structure.

* ρ: 4507 kg/m³
* raw total energy: -0.29833 Ry per atom
* ΔE_f (raw): -52 kJ/mol of formula units

Cell lengths 4.1887, 5.3048, 4.9570 Å; angles 90.00, 90.00, 90.00 degrees
Last column: nearest neighbours and their distance in Å.
Atoms (fractional coordinates):
Zr1 0.0000 0.5000 0.5000  8 Ca 3.24-3.63, 4 Te 3.38
Ca1 0.5000 0.5000 0.0000  4 Zr 3.24, 4 Ca 3.38, 4 Te 3.63
Ca2 0.0000 0.0000 0.0000  4 Te 3.24, 4 Ca 3.38, 4 Zr 3.63
Te1 0.5000 0.0000 0.5000  8 Ca 3.24-3.63, 4 Zr 3.38



Entry 4:
A plane-wave DFT calculation with PBE-GGA was carried out for a geometry-optimized SrScCr2 structure.

* ρ: 4109 kg/m³
* DFT formation energy: 296 kJ/mol of formula units
* raw total energy: -0.44454 Ry per atom
* energy relative to the lowest polymorph listed for this composition: 298 meV per atom

Cell lengths 5.2220, 5.2221, 3.5060 Å; angles 90.00, 90.00, 90.00 degrees
Last column: nearest neighbours and their distance in Å.
Atoms (fractional coordinates):
Cr1 0.0000 0.0000 0.0000  4 Sc 3.14, 4 Sr 3.14, 2 Cr 3.51
Cr2 0.5000 0.5000 0.0000  4 Sr 3.14, 4 Sc 3.14, 2 Cr 3.51
Sc1 0.5000 0.0000 0.5000  8 Cr 3.14, 2 Sc 3.51
Sr1 0.0000 0.5000 0.5000  8 Cr 3.14, 2 Sr 3.51



Entry 5:
A plane-wave DFT calculation with PBE-GGA was carried out for a geometry-optimized Tb2Sm2Dy2Er structure.

* ρ: 8114 kg/m³
* DFT formation energy: 97 kJ/mol of formula units
* raw total energy: -0.33033 Ry per atom

Cell lengths 5.6762, 5.6762, 8.7817 Å; angles 71.14, 71.14, 60.00 degrees
Last column: nearest neighbours and their distance in Å.
Atoms (fractional coordinates):
Dy1 0.5735 0.5735 0.2795  4 Tb 3.45-3.48, 3 Sm 3.46, 1 Dy 3.59
Dy2 0.4265 0.4265 0.7205  4 Tb 3.45-3.48, 3 Sm 3.46, 1 Dy 3.59
Tb1 0.2841 0.2841 0.1476  4 Dy 3.45-3.48, 3 Er 3.49, 1 Sm 3.54
Tb2 0.7159 0.7159 0.8524  4 Dy 3.45-3.48, 3 Er 3.49, 1 Sm 3.54
Er1 0.0000 0.0000 0.0000  2 Sm 3.40, 6 Tb 3.49
Sm1 0.1392 0.1392 0.5825  1 Er 3.40, 3 Dy 3.46, 3 Sm 3.54, 1 Tb 3.54
Sm2 0.8608 0.8608 0.4175  1 Er 3.40, 3 Dy 3.46, 3 Sm 3.54, 1 Tb 3.54



Entry 6:
A plane-wave DFT calculation with PBE-GGA was carried out for a geometry-optimized Pm4In2I5 structure.

* ρ: 5207 kg/m³
* raw total energy: -0.28138 Ry per atom
* ΔE_f (raw): -953 kJ/mol of formula units

Cell lengths 4.0881, 9.0218, 12.7014 Å; angles 84.95, 99.26, 90.00 degrees
Last column: nearest neighbours and their distance in Å.
Atoms (fractional coordinates):
In1 0.4430 0.5544 0.8859  1 In 2.94, 3 Pm 3.11-3.25
In2 0.5570 0.4456 0.1141  1 In 2.94, 3 Pm 3.11-3.25
I1 0.5000 0.0000 0.0000  4 Pm 3.27
I2 0.7876 0.6851 0.5753  3 Pm 3.18-3.24
I3 0.1442 0.8324 0.2885  3 Pm 3.17-3.20
I4 0.2124 0.3149 0.4247  3 Pm 3.18-3.24
I5 0.8558 0.1676 0.7115  3 Pm 3.17-3.20
Pm1 0.9733 0.2803 0.9465  3 I 3.20-3.27, 4 In 3.25-3.37
Pm2 0.3306 0.4327 0.6611  1 In 3.11, 5 I 3.17-3.24
Pm3 0.0267 0.7197 0.0535  3 I 3.20-3.27, 4 In 3.25-3.37
Pm4 0.6694 0.5673 0.3389  1 In 3.11, 5 I 3.17-3.24



Entry 7:
A plane-wave DFT calculation with PBE-GGA was carried out for a geometry-optimized PmYGe structure.

* ρ: 6263 kg/m³
* DFT formation energy: -175 kJ/mol of formula units
* raw total energy: -0.43242 Ry per atom
* energy relative to the lowest polymorph listed for this composition: 7 meV per atom

Cell lengths 4.4440, 4.4445, 8.2304 Å; angles 89.96, 90.01, 90.00 degrees
Last column: nearest neighbours and their distance in Å.
Atoms (fractional coordinates):
Ge1 0.1803 0.0244 0.3157  5 Pm 3.08-3.23, 4 Y 3.13-3.14
Ge2 0.6799 0.5264 0.7774  5 Pm 3.08-3.23, 4 Y 3.13-3.14
Y1 0.1801 0.5254 0.0461  4 Ge 3.13-3.14, 4 Y 3.14
Y2 0.6801 0.0254 0.0469  4 Ge 3.13-3.14, 4 Y 3.14
Pm1 0.6802 0.5249 0.4030  5 Ge 3.08-3.23
Pm2 0.1800 0.0260 0.6900  5 Ge 3.08-3.23



Entry 8:
A plane-wave DFT calculation with PBE-GGA was carried out for a geometry-optimized Tm6Ru5 structure.

* ρ: 11178 kg/m³
* DFT formation energy: -424 kJ/mol of formula units
* raw total energy: -0.51852 Ry per atom

Cell lengths 4.7734, 6.6963, 8.1663 Å; angles 114.20, 106.91, 90.01 degrees
Last column: nearest neighbours and their distance in Å.
Atoms (fractional coordinates):
Ru1 0.0000 0.5000 0.0000  8 Tm 2.89-2.91
Ru2 0.3362 0.3363 0.6726  8 Tm 2.85-2.92
Ru3 0.3296 0.8300 0.6600  8 Tm 2.84-2.93
Ru4 0.6638 0.6637 0.3274  8 Tm 2.85-2.92
Ru5 0.6704 0.1700 0.3400  8 Tm 2.84-2.93
Tm1 0.8325 0.0833 0.6655  7 Ru 2.84-2.92
Tm2 0.4999 0.2520 0.0000  6 Ru 2.85-2.93
Tm3 0.8326 0.5821 0.6654  7 Ru 2.84-2.92
Tm4 0.1675 0.9167 0.3345  7 Ru 2.84-2.92
Tm5 0.1674 0.4179 0.3346  7 Ru 2.84-2.92
Tm6 0.5001 0.7480 0.0000  6 Ru 2.85-2.93